## NdBiAs (PBE-GGA)

Data for a relaxed NdBiAs crystal.

a = 4.723 Å, b = 5.176 Å, c = 10.850 Å
α = 110.31°, β = 90.00°, γ = 117.15°
Fractional positions:
As1 0.221 0.441 0.134
As2 0.779 0.559 0.866
Bi1 0.305 0.610 0.429
Bi2 0.695 0.390 0.571
Nd1 0.087 0.174 0.843
Nd2 0.913 0.826 0.157

Total DFT energy (no corrections) in eV/cell: -30.2
N(E_F) in states/eV/f.u.: 1.0